Record 1
NaMg6SiO8 after structural relaxation, computed with PBE.

Properties
* calculated total energy: -5.836 eV/atom
* uncorrected formation energy: -2.34 eV per atom
* excess energy over the best structure of this formula in the dataset: 0.0 meV/atom
* SG: P4/mmm (123)

Unit cell a=4.3499 b=4.3499 c=8.4213 alpha=90.00 beta=90.00 gamma=90.00
With the nearest neighbours (Å) after each atom.
Fractional coordinates of all 16 atoms:
O 0.5000 0.5000 0.2468  6 Mg 2.08-2.18
O 0.0000 0.0000 0.7822  1 Si 1.83
O 0.5000 0.5000 0.7532  6 Mg 2.08-2.18
Mg 0.0000 0.5000 0.2579  6 O 2.04-2.20
Na 0.0000 0.0000 0.5000  6 O 2.17-2.38
Mg 0.5000 0.5000 0.0000  6 O 2.08-2.17
O 0.0000 0.0000 0.2178  1 Si 1.83
Mg 0.5000 0.5000 0.5000  6 O 2.13-2.17
Mg 0.0000 0.5000 0.7421  6 O 2.04-2.20
O 0.5000 0.0000 0.5000  4 Mg 2.04-2.17, 2 Na 2.17
Mg 0.5000 0.0000 0.7421  6 O 2.04-2.20
O 0.0000 0.5000 0.5000  4 Mg 2.04-2.17, 2 Na 2.17
Mg 0.5000 0.0000 0.2579  6 O 2.04-2.20
O 0.5000 0.0000 0.0000  4 Mg 2.17, 2 Si 2.17
Si 0.0000 0.0000 0.0000  2 O 1.83
O 0.0000 0.5000 0.0000  4 Mg 2.17, 2 Si 2.17


Record 2
NaMg6SiO8 after structural relaxation, computed with PBE.

Properties
* calculated total energy: -5.823 eV/atom
* uncorrected formation energy: -2.32 eV per atom
* excess energy over the best structure of this formula in the dataset: 13.0 meV/atom
* SG: P4/mmm (123)

Unit cell a=4.2752 b=4.2752 c=8.6153 alpha=90.00 beta=90.00 gamma=90.00
With the nearest neighbours (Å) after each atom.
Fractional coordinates of all 16 atoms:
O 0.0000 0.5000 0.5000  6 Mg 2.14-2.16
Mg 0.5000 0.5000 0.5000  6 O 2.03-2.14
Mg 0.0000 0.0000 0.5000  6 O 2.14-2.27
Mg 0.5000 0.0000 0.2488  6 O 2.14-2.16
O 0.5000 0.0000 0.0000  2 Na 2.14, 2 Si 2.14, 2 Mg 2.14
O 0.5000 0.0000 0.5000  6 Mg 2.14-2.16
O 0.0000 0.0000 0.2365  1 Si 2.04, 5 Mg 2.14-2.27
Si 0.0000 0.0000 0.0000  6 O 2.04-2.14
O 0.5000 0.5000 0.2645  5 Mg 2.03-2.14
O 0.0000 0.5000 0.0000  2 Na 2.14, 2 Si 2.14, 2 Mg 2.14
O 0.5000 0.5000 0.7355  5 Mg 2.03-2.14
Mg 0.0000 0.5000 0.7512  6 O 2.14-2.16
Mg 0.5000 0.0000 0.7512  6 O 2.14-2.16
Na 0.5000 0.5000 0.0000  6 O 2.14-2.28
O 0.0000 0.0000 0.7635  1 Si 2.04, 5 Mg 2.14-2.27
Mg 0.0000 0.5000 0.2488  6 O 2.14-2.16


Record 3
Na2MgSnO4 after structural relaxation, computed with PBE.

Properties
* calculated total energy: -5.461 eV/atom
* uncorrected formation energy: -1.95 eV per atom
* SG: P2/m (10)

Unit cell a=3.1847 b=5.4351 c=5.7610 alpha=108.06 beta=90.00 gamma=90.00
With the nearest neighbours (Å) after each atom.
Fractional coordinates of all 8 atoms:
O 0.5000 0.7570 0.7997  1 Sn 2.07, 2 Mg 2.16
O 0.0000 0.2672 0.7897  2 Sn 2.16, 1 Mg 2.16, 1 Na 2.39
O 0.5000 0.2430 0.2003  1 Sn 2.07, 2 Mg 2.16
Na 0.0000 0.5000 0.5000  6 O 2.39-2.44
O 0.0000 0.7328 0.2103  2 Sn 2.16, 1 Mg 2.16, 1 Na 2.39
Na 0.5000 0.0000 0.5000  6 O 2.43-2.48
Sn 0.5000 0.5000 0.0000  6 O 2.07-2.16
Mg 0.0000 0.0000 0.0000  6 O 2.16


Record 4
NaMgSn2O after structural relaxation, computed with PBE.

Properties
* calculated total energy: -3.753 eV/atom
* uncorrected formation energy: -0.58 eV per atom
* SG: P4/mmm (123)

Unit cell a=5.4133 b=3.8312 c=5.4133 alpha=90.00 beta=90.00 gamma=90.00
With the nearest neighbours (Å) after each atom.
Fractional coordinates of all 5 atoms:
O 0.0000 0.0000 0.0000  2 Mg 1.92
Sn 0.5000 0.0000 0.0000  2 O 2.71
Mg 0.0000 0.5000 0.0000  2 O 1.92
Na 0.5000 0.5000 0.5000  8 Sn 3.32
Sn 0.0000 0.0000 0.5000  2 O 2.71


Record 5
Na3Mg2TaO6 after structural relaxation, computed with PBE.

Properties
* calculated total energy: -6.484 eV/atom
* uncorrected formation energy: -2.42 eV per atom
* SG: C2/m (12)

Unit cell a=5.3723 b=5.3723 c=5.7353 alpha=99.00 beta=99.00 gamma=119.98
With the nearest neighbours (Å) after each atom.
Fractional coordinates of all 12 atoms:
O 0.2484 0.2484 0.7980  1 Ta 2.02, 2 Mg 2.14
Na 0.1719 0.8281 0.5000  6 O 2.38-2.45
O 0.6161 0.9325 0.7970  1 Ta 2.03, 2 Mg 2.15
Na 0.8281 0.1719 0.5000  6 O 2.38-2.45
Mg 0.3336 0.6664 0.0000  6 O 2.14-2.15
Na 0.5000 0.5000 0.5000  6 O 2.38-2.49
O 0.9325 0.6161 0.7970  1 Ta 2.03, 2 Mg 2.15
Mg 0.6664 0.3336 0.0000  6 O 2.14-2.15
O 0.0675 0.3839 0.2030  1 Ta 2.03, 2 Mg 2.15
O 0.3839 0.0675 0.2030  1 Ta 2.03, 2 Mg 2.15
O 0.7516 0.7516 0.2020  1 Ta 2.02, 2 Mg 2.14
Ta 0.0000 0.0000 0.0000  6 O 2.02-2.03


Record 6
NaMgTcO4 after structural relaxation, computed with PBE.

Properties
* calculated total energy: -6.455 eV/atom
* uncorrected formation energy: -1.73 eV per atom
* SG: Imma (74)

Unit cell a=6.0653 b=6.2269 c=6.2269 alpha=61.39 beta=60.86 gamma=60.86
With the nearest neighbours (Å) after each atom.
Fractional coordinates of all 14 atoms:
O 0.2438 0.2782 0.2342  1 Tc 1.84
Na 0.5000 0.0000 0.5000  6 O 2.29-2.30
O 0.2495 0.7409 0.2409  1 Tc 1.89
Mg 0.0000 0.0000 0.0000  6 O 2.16
Na 0.0000 0.0000 0.5000  6 O 2.29-2.30
Mg 0.0000 0.5000 0.5000  6 O 2.16
O 0.7505 0.2591 0.7591  1 Tc 1.89
O 0.7687 0.7409 0.2409  1 Tc 1.89
O 0.2313 0.2591 0.7591  1 Tc 1.89
O 0.2438 0.7342 0.7782  1 Tc 1.84
O 0.7562 0.2658 0.2218  1 Tc 1.84
Tc 0.6279 0.6221 0.1221  4 O 1.84-1.89
Tc 0.3721 0.3779 0.8779  4 O 1.84-1.89
O 0.7562 0.7218 0.7658  1 Tc 1.84


Record 7
Na3Mg2TcO6 after structural relaxation, computed with PBE.

Properties
* calculated total energy: -5.877 eV/atom
* uncorrected formation energy: -1.94 eV per atom
* SG: C2/m (12)

Unit cell a=5.3451 b=5.3451 c=5.6904 alpha=99.04 beta=99.04 gamma=120.04
With the nearest neighbours (Å) after each atom.
Fractional coordinates of all 12 atoms:
Mg 0.3331 0.6669 0.0000  6 O 2.13
O 0.2482 0.2482 0.7990  1 Tc 2.00, 2 Mg 2.13
O 0.7518 0.7518 0.2010  1 Tc 2.00, 2 Mg 2.13
O 0.3844 0.0676 0.2028  1 Tc 2.02, 2 Mg 2.13
Mg 0.6669 0.3331 0.0000  6 O 2.13
O 0.6156 0.9324 0.7972  1 Tc 2.02, 2 Mg 2.13
Na 0.8305 0.1695 0.5000  6 O 2.37-2.45
Tc 0.0000 0.0000 0.0000  6 O 2.00-2.02
Na 0.1695 0.8305 0.5000  6 O 2.37-2.45
O 0.0676 0.3844 0.2028  1 Tc 2.02, 2 Mg 2.13
O 0.9324 0.6156 0.7972  1 Tc 2.02, 2 Mg 2.13
Na 0.5000 0.5000 0.5000  6 O 2.37-2.48


Record 8
NaMgTc2O8 after structural relaxation, computed with PBE.

Properties
* calculated total energy: -6.884 eV/atom
* uncorrected formation energy: -1.61 eV per atom
* SG: I-4m2 (119)

Unit cell a=6.0099 b=6.0099 c=6.0099 alpha=107.82 beta=107.82 gamma=112.82
With the nearest neighbours (Å) after each atom.
Fractional coordinates of all 12 atoms:
O 0.9123 0.6059 0.6936  1 Tc 1.74
O 0.9123 0.2188 0.3064  1 Tc 1.74
Tc 0.5000 0.5000 0.0000  4 O 1.79
Mg 0.2500 0.7500 0.5000  4 O 2.17
O 0.3470 0.1397 0.7927  1 Tc 1.79
Tc 0.7500 0.2500 0.5000  4 O 1.74
O 0.4457 0.6530 0.7927  1 Tc 1.79
O 0.7812 0.0877 0.6936  1 Tc 1.74
O 0.3941 0.0877 0.3064  1 Tc 1.74
O 0.8603 0.6530 0.2073  1 Tc 1.79
O 0.3470 0.5543 0.2073  1 Tc 1.79
Na 0.0000 0.0000 0.0000  4 O 2.25


Question: Which value of calculated total energy does entry 7 give?
Answer: -5.877 eV/atom